[1]
An optimized crystal structure of CsLiH, computed with GGA-PBE.

Unit cell a=5.583 b=6.445 c=6.444 alpha=118.33 beta=90.24 gamma=90.19
Positions (direct):
Cs 0.706 0.788 0.889
Cs 0.207 0.478 0.199
Li 0.927 0.097 0.580
Li 0.480 0.098 0.580
H 0.701 0.861 0.406
H 0.706 0.271 0.817

Computed properties:
* crystal system: triclinic
* DOS(E_F): 0.53 states/eV/f.u.
* polymorph energy (0 for the lowest one): 3 meV/atom



[2]
An optimized crystal structure of Cs2LiH3, computed with GGA-PBE.

Unit cell a=6.262 b=6.650 c=7.735 alpha=115.46 beta=90.00 gamma=90.00
Positions (direct):
H 0.500 0.000 0.000
H 0.750 0.418 0.253
H 0.750 0.166 0.747
H 0.250 0.834 0.253
H 0.000 0.000 0.000
H 0.250 0.582 0.747
Li 0.750 0.171 0.000
Li 0.250 0.829 0.000
Cs 0.250 0.099 0.707
Cs 0.750 0.901 0.293
Cs 0.250 0.391 0.293
Cs 0.750 0.609 0.707

Computed properties:
* crystal system: orthorhombic
* DOS(E_F): 0.00 states/eV/f.u.
* polymorph energy (0 for the lowest one): 0 meV/atom



[3]
An optimized crystal structure of Cs2LiH3, computed with GGA-PBE.

Unit cell a=7.801 b=6.785 c=6.785 alpha=65.97 beta=69.82 gamma=69.82
Positions (direct):
Li 0.250 0.095 0.905
Li 0.750 0.905 0.095
Cs 0.814 0.488 0.835
Cs 0.186 0.512 0.165
Cs 0.314 0.835 0.488
Cs 0.686 0.165 0.512
H 0.750 0.652 0.348
H 0.250 0.348 0.652
H 0.433 0.841 0.887
H 0.933 0.887 0.841
H 0.567 0.159 0.113
H 0.067 0.113 0.159

Computed properties:
* crystal system: monoclinic
* DOS(E_F): 0.00 states/eV/f.u.
* polymorph energy (0 for the lowest one): 21 meV/atom